Material: Er2TmSc6
Method: DFT, GGA-PBE
State: optimized geometry

calculated density: 5.34 Mg/m³
magnetic moment: 1.334 μB/f.u.
formation energy from the elements: 0.60 eV per formula unit
Fermi-level density of states: 1.6965 states/eV/atom
SG: P-6m2 (187)

Lattice parameters (Å, degrees): 3.381 3.381 24.270 90.00 90.00 120.00
Element x y z (fractional)
Er 0.000 0.000 0.173
Er 0.000 0.000 0.827
Tm 0.667 0.333 0.500
Sc 0.000 0.000 0.388
Sc 0.000 0.000 0.612
Sc 0.667 0.333 0.062
Sc 0.667 0.333 0.285
Sc 0.667 0.333 0.715
Sc 0.667 0.333 0.938

=====

Material: NaC2F2
Method: DFT, GGA-PBE
State: optimized geometry

calculated density: 2.41 Mg/m³
raw formation energy: 0.5326 eV/atom
magnetic moment: 1.093 μB/f.u.
Fermi-level density of states: 0.3310 states/eV/atom
SG: I4/mmm (139)

Lattice parameters (Å, degrees): 4.407 4.407 4.407 121.89 121.89 86.75
Element x y z (fractional)
Na 0.000 0.000 0.000
C 0.396 0.396 0.000
C 0.604 0.604 0.000
F 0.250 0.750 0.500
F 0.750 0.250 0.500

=====

Material: RbSi3As
Method: DFT, GGA-PBE
State: optimized geometry

calculated density: 3.04 Mg/m³
raw formation energy: 0.8457 eV/atom
magnetic moment: 0.000 μB/f.u.
Fermi-level density of states: 0.6107 states/eV/atom
SG: Pm-3m (221)

Lattice parameters (Å, degrees): 5.113 5.113 5.113 90.00 90.00 90.00
Element x y z (fractional)
Rb 0.000 0.000 0.000
Si 0.000 0.500 0.500
Si 0.500 0.000 0.500
Si 0.500 0.500 0.000
As 0.500 0.500 0.500

=====

Which formula does entry 2 have? NaC2F2